Record 1
Computed, not measured: a relaxed ZrTlSe2 crystal at the PBE-GGA level of DFT.

formation energy from raw total energies = -0.9863 eV/atom

```
data_ZrTlSe2
_chemical_formula_sum 'Zr2 Tl2 Se4'
_symmetry_space_group_name_H-M 'P 1 21/m 1'
_symmetry_Int_Tables_number 11
_cell_length_a 3.7661
_cell_length_b 5.3756
_cell_length_c 10.4856
_cell_angle_alpha 90.00
_cell_angle_beta 99.92
_cell_angle_gamma 90.00
loop_
_symmetry_equiv_pos_as_xyz
'x,y,z'
'-x,-y,-z'
'-x,y+1/2,-z'
'x,-y+1/2,z'
loop_
_atom_site_label
_atom_site_fract_x
_atom_site_fract_y
_atom_site_fract_z
_atom_site_occupancy
Zr1 0.1976 0.2500 0.4108 1
Tl1 0.1233 0.2500 0.8989 1
Se1 0.2079 0.7500 0.3943 1
Se2 0.3971 0.7500 0.7828 1
```

---

Record 2
Computed, not measured: a relaxed Er4InIr crystal at the PBE-GGA level of DFT.

uncorrected energy = -5.58 eV per atom

```
data_Er4InIr
_chemical_formula_sum 'Er64 In16 Ir16'
_symmetry_space_group_name_H-M 'F -4 3 m'
_symmetry_Int_Tables_number 216
_symmetry_space_group_name_Hall 'F -4 2 3'
_cell_length_a 13.5471
_cell_length_b 13.5471
_cell_length_c 13.5471
_cell_angle_alpha 90.00
_cell_angle_beta 90.00
_cell_angle_gamma 90.00
loop_
_atom_site_label
_atom_site_fract_x
_atom_site_fract_y
_atom_site_fract_z
_atom_site_occupancy
Er1 0.0000 0.0000 0.1900 1
Er2 0.0578 0.2500 0.2500 1
Er3 0.0992 0.0992 0.5992 1
In1 0.1666 0.1666 0.8334 1
Ir1 0.1090 0.1090 0.3910 1
```

---

Record 3
Computed, not measured: a relaxed KCeTl2 crystal at the PBE-GGA level of DFT.

uncorrected energy = -2.93 eV per atom

```
data_KCeTl2
_chemical_formula_sum 'K3 Ce3 Tl6'
_symmetry_space_group_name_H-M 'R -3 m'
_symmetry_Int_Tables_number 166
_symmetry_space_group_name_Hall '-R 3 2"'
_cell_length_a 3.6491
_cell_length_b 3.6491
_cell_length_c 34.3676
_cell_angle_alpha 90.00
_cell_angle_beta 90.00
_cell_angle_gamma 120.00
loop_
_atom_site_label
_atom_site_fract_x
_atom_site_fract_y
_atom_site_fract_z
_atom_site_occupancy
K1 0.0000 0.0000 0.0000 1
Ce1 0.0000 0.0000 0.5000 1
Tl1 0.0000 0.0000 0.2457 1
```

---

Record 4
Computed, not measured: a relaxed Pa2MnNi9 crystal at the PBE-GGA level of DFT.

uncorrected energy = -6.90 eV per atom

```
data_Pa2MnNi9
_chemical_formula_sum 'Pa6 Mn3 Ni27'
_symmetry_space_group_name_H-M 'R -3 m'
_symmetry_Int_Tables_number 166
_symmetry_space_group_name_Hall '-R 3 2"'
_cell_length_a 4.8457
_cell_length_b 4.8457
_cell_length_c 24.3614
_cell_angle_alpha 90.00
_cell_angle_beta 90.00
_cell_angle_gamma 120.00
loop_
_atom_site_label
_atom_site_fract_x
_atom_site_fract_y
_atom_site_fract_z
_atom_site_occupancy
Pa1 0.0000 0.0000 0.1346 1
Mn1 0.0000 0.0000 0.0000 1
Ni1 0.0000 0.0000 0.3330 1
Ni2 0.0000 0.0000 0.5000 1
Ni3 0.0013 0.5007 0.9178 1
```

---

Record 5
Computed, not measured: a relaxed Rb2Pa3Se6 crystal at the PBE-GGA level of DFT.

formation energy from raw total energies = -1.3443 eV/atom

```
data_Rb2Pa3Se6
_chemical_formula_sum 'Rb4 Pa6 Se12'
_symmetry_space_group_name_H-M 'C 1 2/m 1'
_symmetry_Int_Tables_number 12
_cell_length_a 7.1579
_cell_length_b 12.3932
_cell_length_c 8.7097
_cell_angle_alpha 90.00
_cell_angle_beta 105.87
_cell_angle_gamma 90.00
loop_
_symmetry_equiv_pos_as_xyz
'x,y,z'
'-x,-y,-z'
'-x,y,-z'
'x,-y,z'
'x+1/2,y+1/2,z'
'-x+1/2,-y+1/2,-z'
'-x+1/2,y+1/2,-z'
'x+1/2,-y+1/2,z'
loop_
_atom_site_label
_atom_site_fract_x
_atom_site_fract_y
_atom_site_fract_z
_atom_site_occupancy
Rb1 0.0000 0.1668 0.0000 1
Pa1 0.0000 0.0000 0.5000 1
Pa2 0.0000 0.3344 0.5000 1
Se1 0.2326 0.1666 0.6977 1
Se2 0.2328 0.5000 0.6993 1
```

---

Record 6
Computed, not measured: a relaxed TeIO crystal at the PBE-GGA level of DFT.

formation energy from raw total energies = -0.4191 eV/atom

```
data_TeIO
_chemical_formula_sum 'Te2 I2 O2'
_symmetry_space_group_name_H-M 'P -1'
_symmetry_Int_Tables_number 2
_cell_length_a 4.8164
_cell_length_b 5.8773
_cell_length_c 6.5821
_cell_angle_alpha 64.02
_cell_angle_beta 80.28
_cell_angle_gamma 90.00
loop_
_symmetry_equiv_pos_as_xyz
'x,y,z'
'-x,-y,-z'
loop_
_atom_site_label
_atom_site_fract_x
_atom_site_fract_y
_atom_site_fract_z
_atom_site_occupancy
Te1 0.2064 0.4139 0.1766 1
I1 0.3540 0.8224 0.3549 1
O1 0.9998 0.2851 0.9995 1
```

---

Record 7
Computed, not measured: a relaxed Dy15ErIn4 crystal at the PBE-GGA level of DFT.

uncorrected energy = -4.43 eV per atom

```
data_Dy15ErIn4
_chemical_formula_sum 'Dy15 Er1 In4'
_symmetry_space_group_name_H-M 'P 4/m m m'
_symmetry_Int_Tables_number 123
_symmetry_space_group_name_Hall '-P 4 2'
_cell_length_a 4.8515
_cell_length_b 4.8515
_cell_length_c 24.6153
_cell_angle_alpha 90.00
_cell_angle_beta 90.00
_cell_angle_gamma 90.00
loop_
_atom_site_label
_atom_site_fract_x
_atom_site_fract_y
_atom_site_fract_z
_atom_site_occupancy
Dy1 0.0000 0.0000 0.0000 1
Dy2 0.0000 0.0000 0.2041 1
Dy3 0.0000 0.0000 0.4019 1
Dy4 0.0000 0.5000 0.1042 1
Dy5 0.0000 0.5000 0.3028 1
Dy6 0.0000 0.5000 0.5000 1
Er1 0.5000 0.5000 0.0000 1
In1 0.5000 0.5000 0.2057 1
In2 0.5000 0.5000 0.4015 1
```

---

Record 8
Computed, not measured: a relaxed Ho2ZrSc crystal at the PBE-GGA level of DFT.

uncorrected energy = -5.82 eV per atom

```
data_Ho2ZrSc
_chemical_formula_sum 'Ho4 Zr2 Sc2'
_symmetry_space_group_name_H-M 'I m m m'
_symmetry_Int_Tables_number 71
_symmetry_space_group_name_Hall '-I 2 2'
_cell_length_a 3.4303
_cell_length_b 5.6213
_cell_length_c 11.1827
_cell_angle_alpha 90.00
_cell_angle_beta 90.00
_cell_angle_gamma 90.00
loop_
_atom_site_label
_atom_site_fract_x
_atom_site_fract_y
_atom_site_fract_z
_atom_site_occupancy
Ho1 0.0000 0.0000 0.2450 1
Zr1 0.0000 0.5000 0.5000 1
Sc1 0.0000 0.5000 0.0000 1
```

---

Record 9
Computed, not measured: a relaxed NaZr2FeS crystal at the PBE-GGA level of DFT.

formation energy from raw total energies = 0.2841 eV/atom

```
data_NaZr2FeS
_chemical_formula_sum 'Na1 Zr2 Fe1 S1'
_symmetry_space_group_name_H-M 'P 4/m m m'
_symmetry_Int_Tables_number 123
_symmetry_space_group_name_Hall '-P 4 2'
_cell_length_a 4.9475
_cell_length_b 4.9475
_cell_length_c 4.2207
_cell_angle_alpha 90.00
_cell_angle_beta 90.00
_cell_angle_gamma 90.00
loop_
_atom_site_label
_atom_site_fract_x
_atom_site_fract_y
_atom_site_fract_z
_atom_site_occupancy
Na1 0.0000 0.0000 0.0000 1
Zr1 0.0000 0.5000 0.5000 1
Fe1 0.5000 0.5000 0.5000 1
S1 0.5000 0.5000 0.0000 1
```

---

Record 10
Computed, not measured: a relaxed LaNdThSc crystal at the PBE-GGA level of DFT.

uncorrected energy = -5.82 eV per atom

```
data_LaNdThSc
_chemical_formula_sum 'La1 Nd1 Th1 Sc1'
_symmetry_space_group_name_H-M 'P 4 m m'
_symmetry_Int_Tables_number 99
_cell_length_a 3.6149
_cell_length_b 3.6149
_cell_length_c 9.8427
_cell_angle_alpha 90.00
_cell_angle_beta 90.00
_cell_angle_gamma 90.00
loop_
_symmetry_equiv_pos_as_xyz
'x,y,z'
'-y,x,z'
'-x,-y,z'
'y,-x,z'
'-x,y,z'
'y,x,z'
'x,-y,z'
'-y,-x,z'
loop_
_atom_site_label
_atom_site_fract_x
_atom_site_fract_y
_atom_site_fract_z
_atom_site_occupancy
La1 0.0000 0.0000 0.0000 1
Nd1 0.5000 0.5000 0.7185 1
Th1 0.0000 0.0000 0.4673 1
Sc1 0.5000 0.5000 0.2447 1
```

---

Record 11
Computed, not measured: a relaxed V6SiRh12 crystal at the PBE-GGA level of DFT.

formation energy from raw total energies = -0.3578 eV/atom

```
data_V6SiRh12
_chemical_formula_sum 'V18 Si3 Rh36'
_symmetry_space_group_name_H-M 'R -3'
_symmetry_Int_Tables_number 148
_symmetry_space_group_name_Hall '-R 3'
_cell_length_a 11.7446
_cell_length_b 11.7446
_cell_length_c 6.6078
_cell_angle_alpha 90.00
_cell_angle_beta 90.00
_cell_angle_gamma 120.00
loop_
_atom_site_label
_atom_site_fract_x
_atom_site_fract_y
_atom_site_fract_z
_atom_site_occupancy
V1 0.0253 0.7554 0.3452 1
Si1 0.0000 0.0000 0.0000 1
Rh1 0.0108 0.8696 0.6630 1
Rh2 0.0655 0.5038 0.6704 1
```

---

Record 12
Computed, not measured: a relaxed ZrSc2Cu2 crystal at the PBE-GGA level of DFT.

uncorrected energy = -5.67 eV per atom

```
data_ZrSc2Cu2
_chemical_formula_sum 'Zr2 Sc4 Cu4'
_symmetry_space_group_name_H-M 'I 4/m m m'
_symmetry_Int_Tables_number 139
_symmetry_space_group_name_Hall '-I 4 2'
_cell_length_a 3.9043
_cell_length_b 3.9043
_cell_length_c 13.1109
_cell_angle_alpha 90.00
_cell_angle_beta 90.00
_cell_angle_gamma 90.00
loop_
_atom_site_label
_atom_site_fract_x
_atom_site_fract_y
_atom_site_fract_z
_atom_site_occupancy
Zr1 0.0000 0.0000 0.0000 1
Sc1 0.0000 0.0000 0.3877 1
Cu1 0.0000 0.5000 0.2500 1
```

---

Record 13
Computed, not measured: a relaxed Tc3B4Mo3 crystal at the PBE-GGA level of DFT.

uncorrected energy = -9.35 eV per atom

```
data_Tc3B4Mo3
_chemical_formula_sum 'Tc6 B8 Mo6'
_symmetry_space_group_name_H-M 'A m m 2'
_symmetry_Int_Tables_number 38
_cell_length_a 3.1149
_cell_length_b 8.5295
_cell_length_c 8.4443
_cell_angle_alpha 90.00
_cell_angle_beta 90.00
_cell_angle_gamma 90.00
loop_
_symmetry_equiv_pos_as_xyz
'x,y,z'
'-x,-y,z'
'-x,y,z'
'x,-y,z'
'x,y+1/2,z+1/2'
'-x,-y+1/2,z+1/2'
'-x,y+1/2,z+1/2'
'x,-y+1/2,z+1/2'
loop_
_atom_site_label
_atom_site_fract_x
_atom_site_fract_y
_atom_site_fract_z
_atom_site_occupancy
Tc1 0.0000 0.0000 0.0000 1
Tc2 0.5000 0.2492 0.5858 1
B1 0.5000 0.0000 0.2181 1
B2 0.5000 0.0000 0.4483 1
B3 0.5000 0.1142 0.8354 1
Mo1 0.0000 0.0000 0.6632 1
Mo2 0.0000 0.1702 0.3343 1
```

---

Record 14
Computed, not measured: a relaxed SrY2Ir crystal at the PBE-GGA level of DFT.

uncorrected energy = -5.89 eV per atom

```
data_SrY2Ir
_chemical_formula_sum 'Sr4 Y8 Ir4'
_symmetry_space_group_name_H-M 'F m -3 m'
_symmetry_Int_Tables_number 225
_symmetry_space_group_name_Hall '-F 4 2 3'
_cell_length_a 7.3920
_cell_length_b 7.3920
_cell_length_c 7.3920
_cell_angle_alpha 90.00
_cell_angle_beta 90.00
_cell_angle_gamma 90.00
loop_
_atom_site_label
_atom_site_fract_x
_atom_site_fract_y
_atom_site_fract_z
_atom_site_occupancy
Sr1 0.0000 0.0000 0.0000 1
Y1 0.2500 0.2500 0.2500 1
Ir1 0.0000 0.0000 0.5000 1
```

---

Record 15
Computed, not measured: a relaxed TlCd2HgAu crystal at the PBE-GGA level of DFT.

uncorrected energy = -1.52 eV per atom

```
data_TlCd2HgAu
_chemical_formula_sum 'Tl1 Cd2 Hg1 Au1'
_symmetry_space_group_name_H-M 'P 4/m m m'
_symmetry_Int_Tables_number 123
_symmetry_space_group_name_Hall '-P 4 2'
_cell_length_a 5.3557
_cell_length_b 5.3557
_cell_length_c 5.6383
_cell_angle_alpha 90.00
_cell_angle_beta 90.00
_cell_angle_gamma 90.00
loop_
_atom_site_label
_atom_site_fract_x
_atom_site_fract_y
_atom_site_fract_z
_atom_site_occupancy
Tl1 0.0000 0.0000 0.0000 1
Cd1 0.0000 0.5000 0.5000 1
Hg1 0.5000 0.5000 0.0000 1
Au1 0.0000 0.0000 0.5000 1
```

---

Record 16
Computed, not measured: a relaxed K2Sr3PaS6 crystal at the PBE-GGA level of DFT.

formation energy from raw total energies = -1.7979 eV/atom

```
data_K2Sr3PaS6
_chemical_formula_sum 'K4 Sr6 Pa2 S12'
_symmetry_space_group_name_H-M 'C 1 2/m 1'
_symmetry_Int_Tables_number 12
_cell_length_a 7.5636
_cell_length_b 12.9859
_cell_length_c 7.3006
_cell_angle_alpha 90.00
_cell_angle_beta 110.53
_cell_angle_gamma 90.00
loop_
_symmetry_equiv_pos_as_xyz
'x,y,z'
'-x,-y,-z'
'-x,y,-z'
'x,-y,z'
'x+1/2,y+1/2,z'
'-x+1/2,-y+1/2,-z'
'-x+1/2,y+1/2,-z'
'x+1/2,-y+1/2,z'
loop_
_atom_site_label
_atom_site_fract_x
_atom_site_fract_y
_atom_site_fract_z
_atom_site_occupancy
K1 0.0000 0.1659 0.0000 1
Sr1 0.0000 0.0000 0.5000 1
Sr2 0.0000 0.3300 0.5000 1
Pa1 0.0000 0.5000 0.0000 1
S1 0.2117 0.5000 0.7593 1
S2 0.2322 0.3504 0.2503 1
```

---

Record 17
Computed, not measured: a relaxed SrGa2O4 crystal at the PBE-GGA level of DFT.

formation energy from raw total energies = -2.2409 eV/atom

```
data_SrGa2O4
_chemical_formula_sum 'Sr8 Ga16 O32'
_symmetry_space_group_name_H-M 'P 1 21/c 1'
_symmetry_Int_Tables_number 14
_cell_length_a 8.4718
_cell_length_b 9.1097
_cell_length_c 10.8411
_cell_angle_alpha 90.00
_cell_angle_beta 94.06
_cell_angle_gamma 90.00
loop_
_symmetry_equiv_pos_as_xyz
'x,y,z'
'-x,-y,-z'
'-x,y+1/2,-z+1/2'
'x,-y+1/2,z+1/2'
loop_
_atom_site_label
_atom_site_fract_x
_atom_site_fract_y
_atom_site_fract_z
_atom_site_occupancy
Sr1 0.0026 0.2140 0.3687 1
Sr2 0.4651 0.7397 0.1489 1
Ga1 0.1780 0.0582 0.1391 1
Ga2 0.2206 0.5632 0.3703 1
Ga3 0.2931 0.1058 0.6203 1
Ga4 0.3028 0.5934 0.8894 1
O1 0.0205 0.0107 0.8210 1
O2 0.1529 0.2452 0.0737 1
O3 0.2162 0.5665 0.0415 1
O4 0.2306 0.7480 0.2929 1
O5 0.2621 0.5834 0.5396 1
O6 0.2822 0.0801 0.2979 1
O7 0.3502 0.0610 0.7857 1
O8 0.4898 0.1555 0.5641 1
```

---

Record 18
Computed, not measured: a relaxed Ho3CoCu2 crystal at the PBE-GGA level of DFT.

uncorrected energy = -5.07 eV per atom

```
data_Ho3CoCu2
_chemical_formula_sum 'Ho3 Co1 Cu2'
_symmetry_space_group_name_H-M 'P 4/m m m'
_symmetry_Int_Tables_number 123
_symmetry_space_group_name_Hall '-P 4 2'
_cell_length_a 3.3946
_cell_length_b 3.3946
_cell_length_c 10.3523
_cell_angle_alpha 90.00
_cell_angle_beta 90.00
_cell_angle_gamma 90.00
loop_
_atom_site_label
_atom_site_fract_x
_atom_site_fract_y
_atom_site_fract_z
_atom_site_occupancy
Ho1 0.0000 0.0000 0.0000 1
Ho2 0.0000 0.0000 0.3415 1
Co1 0.5000 0.5000 0.5000 1
Cu1 0.5000 0.5000 0.1686 1
```

---

Record 19
Computed, not measured: a relaxed Tb2TmAg crystal at the PBE-GGA level of DFT.

uncorrected energy = -4.27 eV per atom

```
data_Tb2TmAg
_chemical_formula_sum 'Tb2 Tm1 Ag1'
_symmetry_space_group_name_H-M 'P 4/m m m'
_symmetry_Int_Tables_number 123
_symmetry_space_group_name_Hall '-P 4 2'
_cell_length_a 3.5601
_cell_length_b 3.5601
_cell_length_c 8.8333
_cell_angle_alpha 90.00
_cell_angle_beta 90.00
_cell_angle_gamma 90.00
loop_
_atom_site_label
_atom_site_fract_x
_atom_site_fract_y
_atom_site_fract_z
_atom_site_occupancy
Tb1 0.0000 0.0000 0.2188 1
Tm1 0.5000 0.5000 0.5000 1
Ag1 0.5000 0.5000 0.0000 1
```

---

Record 20
Computed, not measured: a relaxed Pu4Br3F7 crystal at the PBE-GGA level of DFT.

formation energy from raw total energies = -2.8220 eV/atom

```
data_Pu4Br3F7
_chemical_formula_sum 'Pu8 Br6 F14'
_symmetry_space_group_name_H-M 'C 1 2/m 1'
_symmetry_Int_Tables_number 12
_cell_length_a 16.2922
_cell_length_b 3.9838
_cell_length_c 10.9416
_cell_angle_alpha 90.00
_cell_angle_beta 128.83
_cell_angle_gamma 90.00
loop_
_symmetry_equiv_pos_as_xyz
'x,y,z'
'-x,-y,-z'
'-x,y,-z'
'x,-y,z'
'x+1/2,y+1/2,z'
'-x+1/2,-y+1/2,-z'
'-x+1/2,y+1/2,-z'
'x+1/2,-y+1/2,z'
loop_
_atom_site_label
_atom_site_fract_x
_atom_site_fract_y
_atom_site_fract_z
_atom_site_occupancy
Pu1 0.1124 0.0000 0.4326 1
Pu2 0.1494 0.5000 0.0121 1
Br1 0.0000 0.0000 0.0000 1
Br2 0.2082 0.5000 0.7128 1
F1 0.0000 0.0000 0.5000 1
F2 0.0055 0.5000 0.7398 1
F3 0.1758 0.0000 0.9208 1
F4 0.1913 0.5000 0.4046 1
```